{"formula": "GeBi", "functional": "GGA-PBE", "state": "optimized geometry", "lattice": [[6.6524, 0.0000, 0.0000], [0.0000, 6.6524, 0.0000], [0.0000, 0.0000, 6.6524]], "species": ["Ge", "Ge", "Ge", "Ge", "Bi", "Bi", "Bi", "Bi"], "frac_coords": [[0.0000, 0.0000, 0.0000], [0.0000, 0.5000, 0.5000], [0.5000, 0.0000, 0.5000], [0.5000, 0.5000, 0.0000], [0.2500, 0.2500, 0.7500], [0.2500, 0.7500, 0.2500], [0.7500, 0.2500, 0.2500], [0.7500, 0.7500, 0.7500]], "sg": "No. 216", "dft_energy_ev_per_atom": -3.913, "magnetic_moment_mub_per_fu": 0.0, "ef_ev_per_atom": 0.336, "dos_ef_per_ev_atom": 0.787}

{"formula": "GeBi", "functional": "GGA-PBE", "state": "optimized geometry", "lattice": [[4.3805, 0.0000, 0.0000], [-2.1902, 3.7936, 0.0000], [0.0000, 0.0000, 7.7285]], "species": ["Ge", "Ge", "Bi", "Bi"], "frac_coords": [[0.0000, 0.0000, 0.1604], [0.0000, 0.0000, 0.8396], [0.3333, 0.6667, 0.6806], [0.6667, 0.3333, 0.3194]], "sg": "No. 164", "dft_energy_ev_per_atom": -4.106, "magnetic_moment_mub_per_fu": 0.0, "ef_ev_per_atom": 0.143, "dos_ef_per_ev_atom": 0.173}

{"formula": "GeBi", "functional": "GGA-PBE", "state": "optimized geometry", "lattice": [[3.3327, 0.0000, 0.0000], [0.0000, 3.7440, 0.0000], [-1.3897, 0.0000, 8.7210]], "species": ["Ge", "Ge", "Bi", "Bi"], "frac_coords": [[0.0000, 0.0000, 0.0000], [0.4418, 0.5000, 0.8794], [0.1671, 0.5000, 0.2818], [0.2866, 0.0000, 0.5978]], "sg": "No. 6", "dft_energy_ev_per_atom": -4.046, "magnetic_moment_mub_per_fu": 0.0, "ef_ev_per_atom": 0.204, "dos_ef_per_ev_atom": 0.442}

{"formula": "GeBi", "functional": "GGA-PBE", "state": "optimized geometry", "lattice": [[10.2794, 0.0000, 0.0000], [0.0000, 4.6147, 0.0000], [0.0000, 0.0000, 7.6162]], "species": ["Ge", "Ge", "Ge", "Ge", "Ge", "Ge", "Bi", "Bi", "Bi", "Bi", "Bi", "Bi"], "frac_coords": [[0.0000, 0.2281, 0.0000], [0.2096, 0.8947, 0.0343], [0.2904, 0.1053, 0.5343], [0.5000, 0.7719, 0.5000], [0.7096, 0.1053, 0.5343], [0.7904, 0.8947, 0.0343], [0.0000, 0.6831, 0.2586], [0.1551, 0.6212, 0.7005], [0.3449, 0.3788, 0.2005], [0.5000, 0.3169, 0.7586], [0.6551, 0.3788, 0.2005], [0.8449, 0.6212, 0.7005]], "sg": "No. 31", "dft_energy_ev_per_atom": -4.017, "magnetic_moment_mub_per_fu": 0.0, "ef_ev_per_atom": 0.233, "dos_ef_per_ev_atom": 0.483}

{"formula": "GeBi", "functional": "GGA-PBE", "state": "optimized geometry", "lattice": [[4.1254, 0.0000, 0.0000], [0.0000, 17.3359, 0.0000], [0.0000, 0.0000, 4.7772]], "species": ["Ge", "Ge", "Ge", "Ge", "Ge", "Ge", "Bi", "Bi", "Bi", "Bi", "Bi", "Bi"], "frac_coords": [[0.2500, 0.0840, 0.1180], [0.2500, 0.4160, 0.1180], [0.2500, 0.7500, 0.3364], [0.7500, 0.2500, 0.6636], [0.7500, 0.5840, 0.8820], [0.7500, 0.9160, 0.8820], [0.2500, 0.2500, 0.2513], [0.2500, 0.5815, 0.3003], [0.2500, 0.9185, 0.3003], [0.7500, 0.0815, 0.6997], [0.7500, 0.4185, 0.6997], [0.7500, 0.7500, 0.7487]], "sg": "No. 59", "dft_energy_ev_per_atom": -4.007, "magnetic_moment_mub_per_fu": 0.0, "ef_ev_per_atom": 0.242, "dos_ef_per_ev_atom": 0.530}

{"formula": "GeBi", "functional": "GGA-PBE", "state": "optimized geometry", "lattice": [[11.2610, 0.0000, 0.0000], [0.0000, 11.2610, 0.0000], [0.0000, 0.0000, 4.5610]], "species": ["Ge", "Ge", "Ge", "Ge", "Ge", "Ge", "Ge", "Ge", "Bi", "Bi", "Bi", "Bi", "Bi", "Bi", "Bi", "Bi"], "frac_coords": [[0.0396, 0.3850, 0.0000], [0.1097, 0.4511, 0.5000], [0.3850, 0.9604, 0.0000], [0.4511, 0.8903, 0.5000], [0.5489, 0.1097, 0.5000], [0.6150, 0.0396, 0.0000], [0.8903, 0.5489, 0.5000], [0.9604, 0.6150, 0.0000], [0.1591, 0.7698, 0.0000], [0.2302, 0.1591, 0.0000], [0.2822, 0.6342, 0.5000], [0.3658, 0.2822, 0.5000], [0.6342, 0.7178, 0.5000], [0.7178, 0.3658, 0.5000], [0.7698, 0.8409, 0.0000], [0.8409, 0.2302, 0.0000]], "sg": "No. 83", "dft_energy_ev_per_atom": -4.029, "magnetic_moment_mub_per_fu": 0.0, "ef_ev_per_atom": 0.220, "dos_ef_per_ev_atom": 0.227}

{"formula": "GeBi", "functional": "GGA-PBE", "state": "optimized geometry", "lattice": [[10.4422, 0.0000, 0.0000], [-5.2211, 9.0432, 0.0000], [0.0000, 0.0000, 4.1101]], "species": ["Ge", "Ge", "Ge", "Ge", "Ge", "Ge", "Bi", "Bi", "Bi", "Bi", "Bi", "Bi"], "frac_coords": [[0.0404, 0.5893, 0.2500], [0.4107, 0.4511, 0.2500], [0.4511, 0.0404, 0.7500], [0.5489, 0.9596, 0.2500], [0.5893, 0.5489, 0.7500], [0.9596, 0.4107, 0.7500], [0.1349, 0.8339, 0.7500], [0.1661, 0.3010, 0.7500], [0.3010, 0.1349, 0.2500], [0.6990, 0.8651, 0.7500], [0.8339, 0.6990, 0.2500], [0.8651, 0.1661, 0.2500]], "sg": "No. 176", "dft_energy_ev_per_atom": -3.916, "magnetic_moment_mub_per_fu": 0.0, "ef_ev_per_atom": 0.333, "dos_ef_per_ev_atom": 0.461}

{"formula": "GeBi", "functional": "GGA-PBE", "state": "optimized geometry", "lattice": [[5.3615, 0.0000, 0.0000], [0.0000, 4.0407, 0.0000], [-2.0530, 0.0000, 4.9537]], "species": ["Ge", "Ge", "Bi", "Bi"], "frac_coords": [[0.0985, 0.2500, 0.4030], [0.9015, 0.7500, 0.5970], [0.3518, 0.7500, 0.1470], [0.6482, 0.2500, 0.8530]], "sg": "No. 11", "dft_energy_ev_per_atom": -4.061, "magnetic_moment_mub_per_fu": 0.0, "ef_ev_per_atom": 0.188, "dos_ef_per_ev_atom": 0.372}

{"formula": "GeBi", "functional": "GGA-PBE", "state": "optimized geometry", "lattice": [[8.1295, 0.0000, 0.0000], [0.0000, 8.1295, 0.0000], [0.0000, 0.0000, 8.1295]], "species": ["Ge", "Ge", "Ge", "Ge", "Ge", "Ge", "Bi", "Bi", "Bi", "Bi", "Bi", "Bi"], "frac_coords": [[0.0000, 0.2500, 0.5000], [0.0000, 0.7500, 0.5000], [0.2500, 0.5000, 0.0000], [0.5000, 0.0000, 0.2500], [0.5000, 0.0000, 0.7500], [0.7500, 0.5000, 0.0000], [0.0000, 0.5000, 0.2500], [0.0000, 0.5000, 0.7500], [0.2500, 0.0000, 0.5000], [0.5000, 0.2500, 0.0000], [0.5000, 0.7500, 0.0000], [0.7500, 0.0000, 0.5000]], "sg": "No. 223", "dft_energy_ev_per_atom": -3.860, "magnetic_moment_mub_per_fu": 0.0, "ef_ev_per_atom": 0.389, "dos_ef_per_ev_atom": 0.750}

{"formula": "GeBi4", "functional": "GGA-PBE", "state": "optimized geometry", "lattice": [[5.5356, 0.0000, 0.0000], [0.0000, 5.5356, 0.0000], [0.0000, 0.0000, 5.5356]], "species": ["Ge", "Bi", "Bi", "Bi", "Bi"], "frac_coords": [[0.0000, 0.0000, 0.0000], [0.0000, 0.0000, 0.5000], [0.0000, 0.5000, 0.0000], [0.5000, 0.0000, 0.0000], [0.5000, 0.5000, 0.5000]], "sg": "No. 221", "dft_energy_ev_per_atom": -3.503, "magnetic_moment_mub_per_fu": 0.0, "ef_ev_per_atom": 0.525, "dos_ef_per_ev_atom": 1.180}

{"formula": "GeBi", "functional": "GGA-PBE", "state": "optimized geometry", "lattice": [[9.1251, 0.0000, 0.0000], [0.0000, 9.1251, 0.0000], [0.0000, 0.0000, 9.1251]], "species": ["Ge", "Ge", "Ge", "Ge", "Ge", "Ge", "Ge", "Ge", "Bi", "Bi", "Bi", "Bi", "Bi", "Bi", "Bi", "Bi"], "frac_coords": [[0.1551, 0.1551, 0.1551], [0.1551, 0.8449, 0.8449], [0.3449, 0.3449, 0.6551], [0.3449, 0.6551, 0.3449], [0.6551, 0.3449, 0.3449], [0.6551, 0.6551, 0.6551], [0.8449, 0.1551, 0.8449], [0.8449, 0.8449, 0.1551], [0.1590, 0.1590, 0.8410], [0.1590, 0.8410, 0.1590], [0.3410, 0.3410, 0.3410], [0.3410, 0.6590, 0.6590], [0.6590, 0.3410, 0.6590], [0.6590, 0.6590, 0.3410], [0.8410, 0.1590, 0.1590], [0.8410, 0.8410, 0.8410]], "sg": "No. 217", "dft_energy_ev_per_atom": -3.789, "magnetic_moment_mub_per_fu": 0.0, "ef_ev_per_atom": 0.460, "dos_ef_per_ev_atom": 0.854}

{"formula": "GeBi", "functional": "GGA-PBE", "state": "optimized geometry", "lattice": [[5.9506, 0.0000, 0.0000], [0.0000, 6.6077, 0.0000], [0.0000, 0.0000, 5.6522]], "species": ["Ge", "Ge", "Ge", "Ge", "Bi", "Bi", "Bi", "Bi"], "frac_coords": [[0.0000, 0.1381, 0.2500], [0.0000, 0.8619, 0.7500], [0.5000, 0.3619, 0.7500], [0.5000, 0.6381, 0.2500], [0.0000, 0.2963, 0.7500], [0.0000, 0.7037, 0.2500], [0.5000, 0.2037, 0.2500], [0.5000, 0.7963, 0.7500]], "sg": "No. 63", "dft_energy_ev_per_atom": -4.067, "magnetic_moment_mub_per_fu": 0.0, "ef_ev_per_atom": 0.182, "dos_ef_per_ev_atom": 0.347}